Computed, not measured: a relaxed TaBeCd2 crystal at the PBE level of DFT.

Its calculated formation energy is 425 meV/atom.

Cell lengths 10.182, 2.803, 5.258 Å; angles 90.00, 111.80, 90.00 degrees
Space group Cm (No. 8)
Symmetry-distinct sites (fractional):
1 Ta 0.000 0.000 0.000 x2
2 Be 0.232 0.500 0.088 x2
3 Cd 0.217 0.000 0.647 x2
4 Cd 0.442 0.000 0.449 x2